AlV2W | Alexandria | GGA-PBE | relaxed; DFT formation energy = 0.6280 eV/atom; total magnetic moment = 0.00 μB/cell; uncorrected energy = -64.84 eV/cell
1.0
6.971 0.000 0.000
0.000 6.971 0.000
3.485 3.485 2.625
W V Al
2 4 2
Cartesian
0.000 0.000 0.000 W
6.971 3.485 1.313 W
5.354 1.743 0.656 V
5.228 5.102 1.969 V
8.713 8.839 1.969 V
1.617 5.228 0.656 V
3.485 6.971 1.313 Al
3.485 3.485 0.000 Al